(1)
Density functional theory data (PBE) for an optimized crystal structure of TcSbMo2.

The density of states at the Fermi level comes out at 15.26 states/eV/cell. The calculation puts the uncorrected formation energy at 396 meV/atom.

The space group is R-3m (No. 166, hexagonal axes) and the conventional cell measures 2.9883, 2.9883 and 26.4793 Å, with angles of 90.00, 90.00 and 120.00 degrees. Symmetry generates all atoms from Tc at (0.0000, 0.0000, 0.0000), Sb at (0.0000, 0.0000, 0.5000) and Mo at (0.0000, 0.0000, 0.2545).

---

(2)
Density functional theory data (PBE) for an optimized crystal structure of TcSbMo2.

The density of states at the Fermi level comes out at 6.79 states/eV/cell. The calculation puts the uncorrected formation energy at 260 meV/atom.

The space group is I-4m2 (No. 119) and the conventional cell measures 3.8958, 3.8958 and 8.7300 Å, with angles of 90.00, 90.00 and 90.00 degrees. Symmetry generates all atoms from Tc at (0.0000, 0.0000, 0.0000), Sb at (0.0000, 0.5000, 0.2500), Mo at (0.0000, 0.0000, 0.5000) and Mo at (0.0000, 0.5000, 0.7500).

---

(3)
Density functional theory data (PBE) for an optimized crystal structure of Tc3SbMo.

The density of states at the Fermi level comes out at 6.30 states/eV/cell. The calculation puts the energy above the most stable polymorph in this dataset at 0.608 eV/atom. The calculation puts the uncorrected formation energy at 2156 meV/atom.

The space group is Pm-3m (No. 221) and the conventional cell measures 4.7112, 4.7112 and 4.7112 Å, with angles of 90.00, 90.00 and 90.00 degrees. Symmetry generates all atoms from Tc at (0.0000, 0.0000, 0.5000), Sb at (0.0000, 0.0000, 0.0000) and Mo at (0.5000, 0.5000, 0.5000).

---

(4)
Density functional theory data (PBE) for an optimized crystal structure of TcSb2Mo.

The density of states at the Fermi level comes out at 9.20 states/eV/cell. The calculation puts the energy above the most stable polymorph in this dataset at 0.282 eV/atom. The calculation puts the uncorrected formation energy at 349 meV/atom.

The space group is R-3m (No. 166, hexagonal axes) and the conventional cell measures 3.1945, 3.1945 and 25.2167 Å, with angles of 90.00, 90.00 and 120.00 degrees. Symmetry generates all atoms from Tc at (0.0000, 0.0000, 0.0000), Sb at (0.0000, 0.0000, 0.2520) and Mo at (0.0000, 0.0000, 0.5000).